# MnRuNO (PBE+U, optimized geometry)
# - total magnetization (μB/cell) = 4.8
# - distance to the lowest polymorph of the same formula (meV per atom) = 188.4
# - density (Mg/m³) = 6.64
# - DOS(E_F) (states/eV/cell) = 1.9
# - VASP energy (eV per atom) = -7.735
data_MnRuNO
_cell_length_a 2.942
_cell_length_b 4.238
_cell_length_c 3.733
_cell_angle_alpha 90.00
_cell_angle_beta 90.00
_cell_angle_gamma 90.00
_symmetry_space_group_name_H-M 'P m m 2'
_symmetry_Int_Tables_number 25
_symmetry_space_group_name_Hall 'P 2 -2'
loop_
_atom_site_label
_atom_site_fract_x
_atom_site_fract_y
_atom_site_fract_z
_atom_site_occupancy
Mn1 0.000 0.000 0.000 1
Ru1 0.500 0.500 0.502 1
N1 0.500 0.500 0.002 1
O1 0.500 0.000 0.506 1